(1)
Density functional theory data (PBE) for SbPSe after structural relaxation.

Summary:
Uncorrected formation energy in meV/atom: -5.0
Energy relative to the lowest polymorph listed for this composition in eV per atom: 0.007
SG: No. 1

Lattice parameters (Å, degrees): 5.786 6.100 6.123 68.17 82.31 73.80
Element x y z (fractional)
1 Sb 0.000 0.000 0.000
2 Sb 0.410 0.660 0.280
3 P 0.378 0.113 0.759
4 P 0.554 0.720 0.844
5 Se 0.294 0.246 0.366
6 Se 0.960 0.696 0.800

(2)
Density functional theory data (PBE) for ZrFeGe2 after structural relaxation.

Summary:
Energy relative to the elements in eV per atom: -0.52
SG: No. 55
N(E_F) in states/eV/atom: 0.6122

Lattice parameters (Å, degrees): 9.292 10.158 8.023 90.00 90.00 90.00
Element x y z (fractional)
1 Zr 0.168 0.181 0.000
2 Zr 0.172 0.453 0.246
3 Zr 0.172 0.453 0.754
4 Zr 0.328 0.953 0.246
5 Zr 0.328 0.953 0.754
6 Zr 0.332 0.681 0.000
7 Zr 0.668 0.319 0.000
8 Zr 0.672 0.047 0.246
9 Zr 0.672 0.047 0.754
10 Zr 0.828 0.547 0.246
11 Zr 0.828 0.547 0.754
12 Zr 0.832 0.819 0.000
13 Fe 0.000 0.000 0.246
14 Fe 0.000 0.000 0.754
15 Fe 0.085 0.754 0.250
16 Fe 0.085 0.754 0.750
17 Fe 0.415 0.254 0.250
18 Fe 0.415 0.254 0.750
19 Fe 0.500 0.500 0.246
20 Fe 0.500 0.500 0.754
21 Fe 0.585 0.746 0.250
22 Fe 0.585 0.746 0.750
23 Fe 0.915 0.246 0.250
24 Fe 0.915 0.246 0.750
25 Ge 0.040 0.621 0.000
26 Ge 0.042 0.623 0.500
27 Ge 0.124 0.904 0.500
28 Ge 0.127 0.899 0.000
29 Ge 0.165 0.181 0.345
30 Ge 0.165 0.181 0.655
31 Ge 0.335 0.681 0.345
32 Ge 0.335 0.681 0.655
33 Ge 0.373 0.399 0.000
34 Ge 0.376 0.404 0.500
35 Ge 0.458 0.123 0.500
36 Ge 0.460 0.121 0.000
37 Ge 0.540 0.879 0.000
38 Ge 0.542 0.877 0.500
39 Ge 0.624 0.596 0.500
40 Ge 0.627 0.601 0.000
41 Ge 0.665 0.319 0.345
42 Ge 0.665 0.319 0.655
43 Ge 0.835 0.819 0.345
44 Ge 0.835 0.819 0.655
45 Ge 0.873 0.101 0.000
46 Ge 0.876 0.096 0.500
47 Ge 0.958 0.377 0.500
48 Ge 0.960 0.379 0.000

(3)
Density functional theory data (PBE) for La4CoAg after structural relaxation.

Summary:
Energy relative to the lowest polymorph listed for this composition in eV per atom: 0.000
Energy relative to the elements in eV per atom: -0.14
SG: No. 11
N(E_F) in states/eV/atom: 1.0793

Lattice parameters (Å, degrees): 6.291 7.122 8.517 90.00 110.93 90.00
Element x y z (fractional)
1 La 0.027 0.007 0.219
2 La 0.027 0.493 0.219
3 La 0.420 0.250 0.634
4 La 0.445 0.250 0.078
5 La 0.555 0.750 0.922
6 La 0.580 0.750 0.366
7 La 0.973 0.507 0.781
8 La 0.973 0.993 0.781
9 Co 0.223 0.750 0.062
10 Co 0.777 0.250 0.938
11 Ag 0.212 0.750 0.554
12 Ag 0.788 0.250 0.446